A plane-wave DFT calculation with PBEsol was carried out for a geometry-optimized Y2TcCl structure.

abc: 3.3786 3.4484 7.8580
angles: 90.96 90.00 90.00
With the nearest neighbours (Å) after each atom.
Fractional coordinates of all 4 atoms:
1 Y 0.0000 0.0205 0.2934  4 Tc 2.85-2.97, 2 Cl 2.86
2 Y 0.0000 0.9795 0.7066  4 Tc 2.85-2.97, 2 Cl 2.86
3 Tc 0.5000 0.5000 0.5000  8 Y 2.85-2.97
4 Cl 0.5000 0.0000 0.0000  4 Y 2.86

Properties
DFT total energy: -7.4637 eV per atom
Density: 5.65 g/cm3
Formation energy without anion corrections: -0.73 eV per atom
Polymorph energy (0 for the lowest one): 0 meV/atom



A plane-wave DFT calculation with PBEsol was carried out for a geometry-optimized Y2TcCl structure.

abc: 3.4168 4.5286 5.5058
angles: 90.00 90.00 90.00
With the nearest neighbours (Å) after each atom.
Fractional coordinates of all 4 atoms:
1 Y 0.0000 0.0000 0.5000  2 Cl 2.75, 4 Tc 2.84
2 Y 0.5000 0.5000 0.0000  2 Tc 2.75, 4 Cl 2.84
3 Tc 0.5000 0.5000 0.5000  6 Y 2.75-2.84
4 Cl 0.0000 0.0000 0.0000  6 Y 2.75-2.84

Properties
DFT total energy: -7.2126 eV per atom
Density: 6.07 g/cm3
Formation energy without anion corrections: -0.48 eV per atom
Polymorph energy (0 for the lowest one): 251 meV/atom